Entry from Alexandria: Sr2AgOsRh after structural relaxation (PBE).

a b c (Å): 5.8340 5.8340 4.6351
angles (deg): 90.00 90.00 90.00
Last column: nearest neighbours and their distance in Å.
Atoms (fractional coordinates):
Sr 0.0000 0.5000 0.0000  2 Os 2.92
Sr 0.5000 0.0000 0.0000  2 Os 2.92
Ag 0.0000 0.0000 0.5000  8 Sr 3.73, 4 Rh 4.13
Os 0.5000 0.5000 0.0000  2 Rh 2.32
Rh 0.5000 0.5000 0.5000  2 Os 2.32

Output
Energy of formation: 0.53 eV/atom
Symmetry: P4/mmm, No. 123
Crystal system: tetragonal
DOS(E_F): 6.2 states/eV/cell
Magnetization: 0.0 μB per formula unit